The following is a PBEsol calculation of TeRuAuN2 after structural relaxation, from Alexandria via LeMat-Bulk.

Values from the calculation:
The uncorrected formation energy comes out at 9.9 eV per formula unit. For the mass density, the calculation gives 7.81 g/cm3. For the density of states at the Fermi level, the calculation gives 5.04 states/eV/cell. The crystal system is tetragonal.

Cell: 3.7572 3.7572 6.8314 Å, 90.00 90.00 90.00°
Each line ends with the local moment (μB).
Sites, in units of the cell vectors:
N: 0.0000 0.5000 0.0000  -0.01
N: 0.5000 0.0000 0.0000  -0.01
Te: 0.0000 0.0000 0.5000  -0.01
Ru: 0.5000 0.5000 0.5000  0.77
Au: 0.0000 0.0000 0.0000  -0.01